Density functional theory data (PBE) for a geometry-optimized Ce4PmSn3 structure.

Values from the calculation:
DOS at the Fermi energy: 34.44 states/eV/cell
ΔH_f (0 K): -0.217 eV per atom
energy: -5.278 eV per atom

a b c (Å): 25.134 4.138 4.424
angles (deg): 90.00 95.49 90.00
Fractional coordinates of all 16 atoms:
Ce  0.102  0.000  0.031
Ce  0.147  0.500  0.694
Ce  0.353  0.000  0.306
Ce  0.398  0.500  0.969
Ce  0.602  0.500  0.031
Ce  0.647  0.000  0.694
Ce  0.853  0.500  0.306
Ce  0.898  0.000  0.969
Pm  0.000  0.000  0.500
Pm  0.500  0.500  0.500
Sn  0.000  0.500  0.000
Sn  0.222  0.000  0.231
Sn  0.278  0.500  0.769
Sn  0.500  0.000  0.000
Sn  0.722  0.500  0.231
Sn  0.778  0.000  0.769


Density functional theory data (PBE) for a geometry-optimized CePmSnTe structure.

Values from the calculation:
energy relative to the lowest polymorph listed for this composition: 0.80 eV per formula unit
DOS at the Fermi energy: 26.58 states/eV/cell
E_form (uncorrected): -0.840 eV per atom
energy: -5.297 eV per atom

a b c (Å): 7.733 7.733 7.733
angles (deg): 90.00 90.00 90.00
Fractional coordinates of all 16 atoms:
Ce  0.000  0.000  0.000
Ce  0.000  0.500  0.500
Ce  0.500  0.000  0.500
Ce  0.500  0.500  0.000
Pm  0.000  0.000  0.500
Pm  0.000  0.500  0.000
Pm  0.500  0.000  0.000
Pm  0.500  0.500  0.500
Sn  0.250  0.250  0.750
Sn  0.250  0.750  0.250
Sn  0.750  0.250  0.250
Sn  0.750  0.750  0.750
Te  0.250  0.250  0.250
Te  0.250  0.750  0.750
Te  0.750  0.250  0.750
Te  0.750  0.750  0.250


Density functional theory data (PBE) for a geometry-optimized CePmSnTe structure.

Values from the calculation:
energy relative to the lowest polymorph listed for this composition: 0.00 eV per formula unit
DOS at the Fermi energy: 21.31 states/eV/cell
E_form (uncorrected): -1.040 eV per atom
energy: -5.497 eV per atom

a b c (Å): 4.498 4.498 22.108
angles (deg): 90.00 90.00 120.00
Fractional coordinates of all 12 atoms:
Ce  0.000  0.000  0.000
Ce  0.333  0.667  0.667
Ce  0.667  0.333  0.333
Pm  0.000  0.000  0.505
Pm  0.333  0.667  0.172
Pm  0.667  0.333  0.839
Sn  0.000  0.000  0.253
Sn  0.333  0.667  0.920
Sn  0.667  0.333  0.587
Te  0.000  0.000  0.753
Te  0.333  0.667  0.419
Te  0.667  0.333  0.086


Density functional theory data (PBE) for a geometry-optimized CePmThSn structure.

Values from the calculation:
DOS at the Fermi energy: 35.46 states/eV/cell
ΔH_f (0 K): -0.151 eV per atom
energy: -5.678 eV per atom

a b c (Å): 7.772 7.772 7.772
angles (deg): 90.00 90.00 90.00
Fractional coordinates of all 16 atoms:
Ce  0.000  0.000  0.000
Ce  0.000  0.500  0.500
Ce  0.500  0.000  0.500
Ce  0.500  0.500  0.000
Pm  0.000  0.000  0.500
Pm  0.000  0.500  0.000
Pm  0.500  0.000  0.000
Pm  0.500  0.500  0.500
Th  0.250  0.250  0.750
Th  0.250  0.750  0.250
Th  0.750  0.250  0.250
Th  0.750  0.750  0.750
Sn  0.250  0.250  0.250
Sn  0.250  0.750  0.750
Sn  0.750  0.250  0.750
Sn  0.750  0.750  0.250


Density functional theory data (PBE) for a geometry-optimized CePmTmSn structure.

Values from the calculation:
DOS at the Fermi energy: 29.20 states/eV/cell
ΔH_f (0 K): -0.187 eV per atom
energy: -4.977 eV per atom

a b c (Å): 7.641 7.641 7.641
angles (deg): 90.00 90.00 90.00
Fractional coordinates of all 16 atoms:
Ce  0.000  0.000  0.000
Ce  0.000  0.500  0.500
Ce  0.500  0.000  0.500
Ce  0.500  0.500  0.000
Pm  0.250  0.250  0.750
Pm  0.250  0.750  0.250
Pm  0.750  0.250  0.250
Pm  0.750  0.750  0.750
Tm  0.250  0.250  0.250
Tm  0.250  0.750  0.750
Tm  0.750  0.250  0.750
Tm  0.750  0.750  0.250
Sn  0.000  0.000  0.500
Sn  0.000  0.500  0.000
Sn  0.500  0.000  0.000
Sn  0.500  0.500  0.500


Density functional theory data (PBE) for a geometry-optimized CePmYSn structure.

Values from the calculation:
DOS at the Fermi energy: 31.72 states/eV/cell
ΔH_f (0 K): -0.209 eV per atom
energy: -5.497 eV per atom

a b c (Å): 7.690 7.690 7.690
angles (deg): 90.00 90.00 90.00
Fractional coordinates of all 16 atoms:
Ce  0.000  0.000  0.000
Ce  0.000  0.500  0.500
Ce  0.500  0.000  0.500
Ce  0.500  0.500  0.000
Pm  0.250  0.250  0.750
Pm  0.250  0.750  0.250
Pm  0.750  0.250  0.250
Pm  0.750  0.750  0.750
Y  0.250  0.250  0.250
Y  0.250  0.750  0.750
Y  0.750  0.250  0.750
Y  0.750  0.750  0.250
Sn  0.000  0.000  0.500
Sn  0.000  0.500  0.000
Sn  0.500  0.000  0.000
Sn  0.500  0.500  0.500


Density functional theory data (PBE) for a geometry-optimized Ce2PmZn2Sn2 structure.

Values from the calculation:
DOS at the Fermi energy: 11.79 states/eV/cell
ΔH_f (0 K): -0.363 eV per atom
energy: -4.245 eV per atom

a b c (Å): 9.894 9.894 9.894
angles (deg): 26.55 26.55 26.55
Fractional coordinates of all 7 atoms:
Ce  0.143  0.143  0.143
Ce  0.857  0.857  0.857
Pm  0.000  0.000  0.000
Zn  0.419  0.419  0.419
Zn  0.581  0.581  0.581
Sn  0.267  0.267  0.267
Sn  0.733  0.733  0.733


Density functional theory data (PBE) for a geometry-optimized CePm2Zn2Sn2 structure.

Values from the calculation:
DOS at the Fermi energy: 7.77 states/eV/cell
ΔH_f (0 K): -0.356 eV per atom
energy: -4.069 eV per atom

a b c (Å): 10.146 10.146 10.146
angles (deg): 26.59 26.59 26.59
Fractional coordinates of all 7 atoms:
Ce  0.000  0.000  0.000
Pm  0.128  0.128  0.128
Pm  0.872  0.872  0.872
Zn  0.387  0.387  0.387
Zn  0.613  0.613  0.613
Sn  0.262  0.262  0.262
Sn  0.738  0.738  0.738


> Among the records above, which one has the highest DOS at the Fermi energy?

CePmThSn